First-principles (PBE) data for a relaxed structure of CdCuH2F8, as listed in the Alexandria database.

Cell lengths 4.9968, 5.0038, 6.5178 Å; angles 84.70, 86.21, 69.94 degrees
Last column: nearest neighbours and their distance in Å.
Space group P-1 (No. 2)
Inequivalent atoms, fractional coordinates:
1 Cd 0.0000 0.0000 0.0000  6 F 2.22-2.36
2 Cu 0.0000 0.0000 0.5000  6 F 1.81-1.95
3 H 0.2684 0.2706 0.2226  1 F 1.00
4 F 0.2092 0.7604 0.2825  1 Cu 1.95
5 F 0.2187 0.2219 0.4438  1 H 1.46
6 F 0.2360 0.7931 0.7068  1 Cu 1.84
7 F 0.2783 0.2773 0.0686  1 H 1.00

=====

First-principles (PBE) data for a relaxed structure of CdCuHgF6, as listed in the Alexandria database.

Cell lengths 5.6525, 5.6525, 9.6202 Å; angles 90.00, 90.00, 120.00 degrees
Last column: nearest neighbours and their distance in Å.
Space group P-31c (No. 163)
Inequivalent atoms, fractional coordinates:
1 Cd 0.3333 0.6667 0.2500  6 F 2.27
2 Cu 0.3333 0.6667 0.7500  6 F 2.04
3 Hg 0.0000 0.0000 0.0000  6 F 2.36
4 F 0.0302 0.3637 0.6341  1 Cu 2.04, 1 Cd 2.27

=====

First-principles (PBE) data for a relaxed structure of Cd2CuHgF, as listed in the Alexandria database.

Cell lengths 5.0256, 5.0256, 4.9808 Å; angles 90.00, 90.00, 90.00 degrees
Last column: nearest neighbours and their distance in Å.
Space group P4/mmm (No. 123)
Inequivalent atoms, fractional coordinates:
1 Cd 0.0000 0.5000 0.0000  2 Cu 2.51
2 Cu 0.0000 0.0000 0.0000  2 Hg 2.49, 4 Cd 2.51
3 Hg 0.0000 0.0000 0.5000  2 Cu 2.49
4 F 0.5000 0.5000 0.5000  8 Cd 3.54, 4 Hg 3.55

=====

First-principles (PBE) data for a relaxed structure of K2CdCu3F12, as listed in the Alexandria database.

Cell lengths 7.4199, 7.4199, 17.2842 Å; angles 90.00, 90.00, 120.00 degrees
Last column: nearest neighbours and their distance in Å.
Space group R-3m (No. 166, hexagonal axes)
Inequivalent atoms, fractional coordinates:
1 K 0.0000 0.0000 0.1243  3 F 2.78
2 Cd 0.0000 0.0000 0.5000  6 F 2.29
3 Cu 0.0000 0.5000 0.0000  6 F 1.92-1.94
4 F 0.0098 0.5049 0.1112  1 Cu 1.92
5 F 0.0766 0.5383 0.3348  2 Cu 1.94

=====

First-principles (PBE) data for a relaxed structure of K2CdCuF6, as listed in the Alexandria database.

Cell lengths 6.0288, 8.5400, 6.0432 Å; angles 90.00, 90.00, 90.00 degrees
Last column: nearest neighbours and their distance in Å.
Space group Pmmn (No. 59, origin choice 2)
Inequivalent atoms, fractional coordinates:
1 K 0.2500 0.0004 0.2502  12 F 3.02-3.03
2 Cd 0.2500 0.2500 0.7504  6 F 2.23
3 Cu 0.2500 0.7500 0.7496  6 F 2.04
4 F 0.0113 0.7500 0.5112  1 Cu 2.04, 1 Cd 2.23
5 F 0.0111 0.7500 0.9878  1 Cu 2.04, 1 Cd 2.23
6 F 0.2500 0.5113 0.7496  1 Cu 2.04, 1 Cd 2.23

=====

First-principles (PBE) data for a relaxed structure of KCd2CuF8, as listed in the Alexandria database.

Cell lengths 5.0311, 7.1637, 5.1008 Å; angles 90.00, 91.09, 90.00 degrees
Last column: nearest neighbours and their distance in Å.
Space group P2/m (No. 10)
Inequivalent atoms, fractional coordinates:
1 K 0.0000 0.0000 0.0000  6 F 2.45-2.60
2 Cd 0.5000 0.2566 0.5000  6 F 2.24-2.38
3 Cu 0.0000 0.5000 0.0000  6 F 1.92-2.01
4 F 0.1654 0.3093 0.2125  1 Cu 1.92
5 F 0.2997 0.5000 0.7448  1 Cu 2.01
6 F 0.3936 0.0000 0.7243  2 Cd 2.24, 1 K 2.45

=====

| no. | electronic total energy (eV per cell) | DOS(E_F) (states/eV per cell) |
| --- | --- | --- |
| 1 | -44.52 | 3.06 |
| 2 | -63.19 | 10.09 |
| 3 | -9.14 | 1.38 |
| 4 | -216.58 | 17.12 |
| 5 | -81.90 | 6.24 |
| 6 | -46.02 | 0.75 |